Entry from Alexandria via LeMat-Bulk: crystalline Te2AuF at its relaxed geometry (PBEsol).

```
Te2AuF
1.0
0.000 3.371 3.371
3.371 0.000 3.371
3.371 3.371 0.000
Te Au F
2 1 1
Direct
0.250 0.250 0.250
0.750 0.750 0.750
0.000 0.000 0.000
0.500 0.500 0.500
```

Computed properties:
As for the calculated volume: 76.6 Å³ per cell. The uncorrected formation energy comes out at -0.409 eV per atom. The calculation puts the total energy at -3.634 eV/atom. As for the calculated density: 10208 kg/m3. The value obtained for the total magnetization is 0.00 μB per formula unit.